[1]
VASP calculation (GGA-PBE) on crystalline LaMgNi at its relaxed geometry.

Cell: 4.5293 4.5293 3.9589 Å, 90.00 90.00 120.00°
Atoms (fractional coordinates):
1 Ni 0.3333 0.6667 0.5002
2 Mg 0.6667 0.3333 0.5000
3 La 0.0000 0.0000 0.9998

Values from the calculation:
Symmetry: P-6m2, No. 187
E_tot (eV per cell): -12.585
Fermi-level density of states (states/eV/atom): 1.0181
Crystal system: hexagonal
ΔE_f (kJ/mol of formula units): -27



[2]
VASP calculation (GGA-PBE) on crystalline BaMnTc at its relaxed geometry.

Cell: 4.7393 4.7393 4.7393 Å, 60.00 60.00 60.00°
Atoms (fractional coordinates):
1 Tc 0.7500 0.7500 0.7500
2 Ba 0.0000 0.0000 0.0000
3 Mn 0.5000 0.5000 0.5000

Values from the calculation:
E above lowest polymorph (eV/atom): 0.596
Symmetry: F-43m, No. 216
E_tot (eV per cell): -17.707
Fermi-level density of states (states/eV/atom): 1.4735
Crystal system: cubic
ΔE_f (kJ/mol of formula units): 362



[3]
VASP calculation (GGA-PBE) on crystalline NdErZn at its relaxed geometry.

Cell: 4.9854 7.0801 10.0560 Å, 90.00 90.00 90.00°
Atoms (fractional coordinates):
1 Er 0.7500 0.9952 0.6183
2 Zn 0.2500 0.2450 0.6242
3 Er 0.2500 0.4952 0.8817
4 Er 0.7500 0.5048 0.1183
5 Zn 0.2500 0.2550 0.1242
6 Zn 0.7500 0.7450 0.8758
7 Nd 0.2500 0.9961 0.8660
8 Nd 0.7500 0.0039 0.1340
9 Nd 0.7500 0.4961 0.6340
10 Nd 0.2500 0.5039 0.3660
11 Zn 0.7500 0.7550 0.3758
12 Er 0.2500 0.0048 0.3817

Values from the calculation:
E above lowest polymorph (eV/atom): 0.231
Symmetry: Pnma, No. 62
E_tot (eV per cell): -42.070
Fermi-level density of states (states/eV/atom): 1.4562
Crystal system: orthorhombic
ΔE_f (kJ/mol of formula units): 8



[4]
VASP calculation (GGA-PBE) on crystalline SrAc5Te8 at its relaxed geometry.

Cell: 8.6537 8.6537 8.6537 Å, 109.55 109.30 109.55°
Atoms (fractional coordinates):
1 Ac 0.3711 0.1244 0.9962
2 Ac 0.5000 0.0000 0.5000
3 Sr 0.2500 0.5000 0.7500
4 Te 0.6217 0.9000 0.8711
5 Te 0.9710 0.1000 0.7217
6 Te 0.7717 0.2477 0.3692
7 Te 0.1215 0.7523 0.5240
8 Ac 0.8719 0.8756 0.2467
9 Te 0.6308 0.4025 0.8785
10 Te 0.1289 0.7506 0.0290
11 Ac 0.0038 0.3748 0.1281
12 Te 0.2783 0.2494 0.3783
13 Te 0.4760 0.5975 0.2283
14 Ac 0.7533 0.6252 0.6289

Values from the calculation:
Symmetry: I-4, No. 82
E_tot (eV per cell): -70.003
Fermi-level density of states (states/eV/atom): 0.4846
Crystal system: tetragonal
E_form (uncorrected) (kJ/mol of formula units): -2185



[5]
VASP calculation (GGA-PBE) on crystalline NaZnC3 at its relaxed geometry.

Cell: 4.1106 4.1106 4.1106 Å, 90.00 90.00 90.00°
Atoms (fractional coordinates):
1 C 0.0000 0.5000 0.0000
2 C 0.0000 0.0000 0.5000
3 Na 0.5000 0.5000 0.5000
4 C 0.5000 0.0000 0.0000
5 Zn 0.0000 0.0000 0.0000

Values from the calculation:
E above lowest polymorph (eV/atom): 0.000
Symmetry: Pm-3m, No. 221
E_tot (eV per cell): -17.190
Fermi-level density of states (states/eV/atom): 0.4751
Crystal system: cubic
ΔE_f (kJ/mol of formula units): 1261



[6]
VASP calculation (GGA-PBE) on crystalline Ac3UO8 at its relaxed geometry.

Cell: 5.7543 5.7543 7.0192 Å, 114.20 114.20 90.00°
Atoms (fractional coordinates):
1 U 0.0000 0.0000 0.0000
2 O 0.3408 0.8875 0.2282
3 O 0.8875 0.8875 0.2282
4 O 0.6592 0.6592 0.7718
5 Ac 0.7500 0.2500 0.5000
6 Ac 0.5000 0.5000 0.0000
7 O 0.1125 0.6592 0.7718
8 O 0.8875 0.3408 0.2282
9 O 0.3408 0.3408 0.2282
10 Ac 0.2500 0.7500 0.5000
11 O 0.6592 0.1125 0.7718
12 O 0.1125 0.1125 0.7718

Values from the calculation:
Symmetry: I4/mmm, No. 139
E_tot (eV per cell): -101.387
Fermi-level density of states (states/eV/atom): 0.8091
Crystal system: tetragonal
E_form (uncorrected) (kJ/mol of formula units): -3677



[7]
VASP calculation (GGA-PBE) on crystalline YAgTeN2 at its relaxed geometry.

Cell: 4.2971 4.2971 6.5469 Å, 90.00 90.00 90.00°
Atoms (fractional coordinates):
1 Y 0.0000 0.0000 0.0000
2 N 0.5000 0.0000 0.0000
3 Te 0.0000 0.0000 0.5000
4 N 0.0000 0.5000 0.0000
5 Ag 0.5000 0.5000 0.5000

Values from the calculation:
E above lowest polymorph (eV/atom): 0.000
Symmetry: P4/mmm, No. 123
E_tot (eV per cell): -24.850
Fermi-level density of states (states/eV/atom): 0.9584
Crystal system: tetragonal
E_form (uncorrected) (kJ/mol of formula units): 411



[8]
VASP calculation (GGA-PBE) on crystalline InPd8Pt5 at its relaxed geometry.

Cell: 6.7427 6.7427 6.7427 Å, 110.85 106.75 110.85°
Atoms (fractional coordinates):
1 In 0.2500 0.5000 0.7500
2 Pt 0.8756 0.9144 0.1945
3 Pd 0.7413 0.2679 0.3431
4 Pt 0.8055 0.6811 0.7199
5 Pd 0.5267 0.6018 0.2587
6 Pt 0.0387 0.3189 0.1244
7 Pd 0.0752 0.7321 0.4733
8 Pd 0.6569 0.3982 0.9248
9 Pt 0.5000 0.0000 0.5000
10 Pd 0.9258 0.0697 0.6415
11 Pd 0.3585 0.2843 0.4282
12 Pd 0.1439 0.7157 0.0742
13 Pd 0.5718 0.9303 0.8561
14 Pt 0.2801 0.0856 0.9613

Values from the calculation:
Symmetry: I-4, No. 82
E_tot (eV per cell): -73.477
Fermi-level density of states (states/eV/atom): 1.5016
Crystal system: tetragonal
ΔE_f (kJ/mol of formula units): 97



[9]
VASP calculation (GGA-PBE) on crystalline MoAuSe2 at its relaxed geometry.

Cell: 5.7365 5.7365 5.7365 Å, 140.59 140.59 56.96°
Atoms (fractional coordinates):
1 Se 0.0000 0.0000 0.0000
2 Se 0.2500 0.7500 0.5000
3 Mo 0.7500 0.2500 0.5000
4 Au 0.5000 0.5000 0.0000

Values from the calculation:
E above lowest polymorph (eV/atom): 0.677
Symmetry: I-4m2, No. 119
E_tot (eV per cell): -19.056
Fermi-level density of states (states/eV/atom): 0.9154
Crystal system: tetragonal
E_form (uncorrected) (kJ/mol of formula units): 195



[10]
VASP calculation (GGA-PBE) on crystalline ScReS2N at its relaxed geometry.

Cell: 4.9257 4.9257 4.0447 Å, 90.00 90.00 90.00°
Atoms (fractional coordinates):
1 N 0.0000 0.0000 0.5000
2 Re 0.5000 0.5000 0.5000
3 S 0.0000 0.5000 0.0000
4 S 0.5000 0.0000 0.0000
5 Sc 0.0000 0.0000 0.0000

Values from the calculation:
E above lowest polymorph (eV/atom): 1.182
Symmetry: P4/mmm, No. 123
E_tot (eV per cell): -30.820
Fermi-level density of states (states/eV/atom): 0.6194
Crystal system: tetragonal
E_form (uncorrected) (kJ/mol of formula units): 438



[11]
VASP calculation (GGA-PBE) on crystalline PrErIn4 at its relaxed geometry.

Cell: 5.1077 3.5036 8.8128 Å, 90.00 90.00 90.00°
Atoms (fractional coordinates):
1 Er 0.0013 0.2472 0.4982
2 In 0.0013 0.7484 0.1691
3 In 0.5013 0.7474 0.6620
4 In 0.5013 0.7461 0.3342
5 In 0.0013 0.7471 0.8272
6 Pr 0.5013 0.2475 0.9981

Values from the calculation:
E above lowest polymorph (eV/atom): 0.000
Symmetry: Pmm2, No. 25
E_tot (eV per cell): -22.693
Fermi-level density of states (states/eV/atom): 0.8149
Crystal system: orthorhombic
ΔE_f (kJ/mol of formula units): -231



[12]
VASP calculation (GGA-PBE) on crystalline Hf4Os2Ru at its relaxed geometry.

Cell: 5.5864 5.5864 5.5864 Å, 109.55 109.43 109.43°
Atoms (fractional coordinates):
1 Hf 0.0000 0.0000 0.5000
2 Hf 0.5000 0.5000 0.5000
3 Hf 0.0000 0.5000 0.0000
4 Ru 0.0000 0.0000 0.0000
5 Os 0.5000 0.5000 0.0000
6 Os 0.5000 0.0000 0.5000
7 Hf 0.5000 0.0000 0.0000

Values from the calculation:
Symmetry: I4/mmm, No. 139
E_tot (eV per cell): -75.154
Fermi-level density of states (states/eV/atom): 0.7228
Crystal system: tetragonal
ΔE_f (kJ/mol of formula units): -348



[13]
VASP calculation (GGA-PBE) on crystalline Hf2AgAs at its relaxed geometry.

Cell: 7.4130 7.4130 6.0454 Å, 52.18 52.18 90.00°
Atoms (fractional coordinates):
1 As 0.2500 0.7500 0.5000
2 Hf 0.1395 0.6250 0.2500
3 As 0.5000 0.5000 0.0000
4 Hf 0.8750 0.8605 0.7500
5 Hf 0.3750 0.3895 0.7500
6 Ag 0.0000 0.0000 0.0000
7 Hf 0.6105 0.1250 0.2500
8 Ag 0.7500 0.2500 0.5000

Values from the calculation:
Symmetry: I-42d, No. 122
E_tot (eV per cell): -55.588
Fermi-level density of states (states/eV/atom): 1.2228
Crystal system: tetragonal
ΔE_f (kJ/mol of formula units): -37